No. 1
The following is a SCAN calculation of GaOsPd3 at its PBEsol-relaxed geometry, from Alexandria via LeMat-Bulk.

Lattice parameters (Å, degrees): 4.4561 4.4561 4.4561 90.00 90.00 90.00
Sites, in units of the cell vectors:
Ga  0.0000  0.0000  0.0000
Os  0.5000  0.5000  0.5000
Pd  0.0000  0.0000  0.5000
Pd  0.0000  0.5000  0.0000
Pd  0.5000  0.0000  0.0000

Properties
ΔH_f (0 K) in kcal/mol of atoms: 26.3
Space-group type: Pm-3m, No. 221
Crystal system: cubic

No. 2
The following is a SCAN calculation of Y2CrPb at its PBEsol-relaxed geometry, from Alexandria via LeMat-Bulk.

Lattice parameters (Å, degrees): 5.4860 5.4860 5.4860 128.67 128.67 75.54
Sites, in units of the cell vectors:
Y  0.2500  0.7500  0.5000
Y  0.7500  0.2500  0.5000
Cr  0.0000  0.0000  0.0000
Pb  0.5000  0.5000  0.0000

Properties
ΔH_f (0 K) in kcal/mol of atoms: -7.1
Space-group type: I4/mmm, No. 139
Crystal system: tetragonal

No. 3
The following is a SCAN calculation of Na4CaP6O18 at its PBEsol-relaxed geometry, from Alexandria via LeMat-Bulk.

Lattice parameters (Å, degrees): 7.6911 7.6911 14.2718 94.03 94.03 62.52
Sites, in units of the cell vectors:
Na  0.0368  0.2879  0.4549
Na  0.2088  0.4592  0.0836
Na  0.2879  0.0368  0.9549
Na  0.4592  0.2088  0.5836
Na  0.5408  0.7912  0.4164
Na  0.7121  0.9632  0.0451
Na  0.7912  0.5408  0.9164
Na  0.9632  0.7121  0.5451
Ca  0.1218  0.8782  0.2500
Ca  0.8782  0.1218  0.7500
P  0.1023  0.7232  0.8901
P  0.1322  0.4111  0.7519
P  0.2768  0.8977  0.6099
P  0.3541  0.4600  0.3859
P  0.4111  0.1322  0.2519
P  0.4600  0.3541  0.8859
P  0.5400  0.6459  0.1141
P  0.5889  0.8678  0.7481
P  0.6459  0.5400  0.6141
P  0.7232  0.1023  0.3901
P  0.8678  0.5889  0.2481
P  0.8977  0.2768  0.1099
O  0.0015  0.6882  0.9670
O  0.0322  0.3185  0.8020
O  0.0534  0.6372  0.7904
O  0.0693  0.9264  0.8735
O  0.0736  0.9307  0.6265
O  0.1280  0.4068  0.6474
O  0.2560  0.4238  0.4636
O  0.3120  0.6644  0.3662
O  0.3118  0.9985  0.5330
O  0.3185  0.0322  0.3020
O  0.3187  0.3608  0.2875
O  0.3356  0.6880  0.1338
O  0.3375  0.5902  0.9018
O  0.3608  0.3187  0.7875
O  0.3628  0.9466  0.7096
O  0.4068  0.1280  0.1474
O  0.4098  0.6625  0.5982
O  0.4238  0.2560  0.9636
O  0.5762  0.7440  0.0364
O  0.5902  0.3375  0.4018
O  0.5932  0.8720  0.8526
O  0.6372  0.0534  0.2904
O  0.6392  0.6813  0.2125
O  0.6625  0.4098  0.0982
O  0.6644  0.3120  0.8662
O  0.6813  0.6392  0.7125
O  0.6815  0.9678  0.6980
O  0.6882  0.0015  0.4670
O  0.6880  0.3356  0.6338
O  0.7440  0.5762  0.5364
O  0.8720  0.5932  0.3526
O  0.9264  0.0693  0.3735
O  0.9307  0.0736  0.1265
O  0.9466  0.3628  0.2096
O  0.9678  0.6815  0.1980
O  0.9985  0.3118  0.0330

Properties
ΔE_f (raw) in eV per atom: -2.56
Space-group type: C2/c, No. 15
Crystal system: monoclinic

No. 4
The following is a SCAN calculation of Sc2TcHg at its PBEsol-relaxed geometry, from Alexandria via LeMat-Bulk.

Lattice parameters (Å, degrees): 8.8184 8.8184 8.8184 21.04 21.04 21.04
Sites, in units of the cell vectors:
Sc  0.2400  0.2400  0.2400
Sc  0.7600  0.7600  0.7600
Tc  0.5000  0.5000  0.5000
Hg  0.0000  0.0000  0.0000

Properties
ΔH_f (0 K) in kcal/mol of atoms: -5.6
Space-group type: R-3m, No. 166
Crystal system: trigonal

No. 5
The following is a SCAN calculation of EuCuSeF at its PBEsol-relaxed geometry, from Alexandria via LeMat-Bulk.

Lattice parameters (Å, degrees): 3.9541 3.9541 8.6228 90.00 90.00 90.00
Sites, in units of the cell vectors:
Eu  0.2500  0.2500  0.1699
Eu  0.7500  0.7500  0.8301
Cu  0.2500  0.7500  0.5000
Cu  0.7500  0.2500  0.5000
Se  0.2500  0.2500  0.6747
Se  0.7500  0.7500  0.3253
F  0.2500  0.7500  0.0000
F  0.7500  0.2500  0.0000

Properties
ΔE_f (raw) in eV per atom: -2.15
Space-group type: P4/nmm, No. 129
Crystal system: tetragonal

No. 6
The following is a SCAN calculation of SrCoO2 at its PBEsol-relaxed geometry, from Alexandria via LeMat-Bulk.

Lattice parameters (Å, degrees): 4.0516 4.0516 4.0516 60.00 60.00 60.00
Sites, in units of the cell vectors:
Sr  0.0000  0.0000  0.0000
Co  0.5000  0.5000  0.5000
O  0.2500  0.2500  0.2500
O  0.7500  0.7500  0.7500

Properties
ΔE_f (raw) in eV per atom: -1.47
Space-group type: Fm-3m, No. 225
Crystal system: cubic

| no. | spin magnetization (μB per formula unit) |
| --- | --- |
| 1 | 2.79 |
| 2 | 4.25 |
| 3 | 0.00 |
| 4 | 0.00 |
| 5 | 7.00 |
| 6 | 3.04 |